VASP calculation (PBE) on a relaxed HfSbTe2As crystal.

extended XYZ file:
```
5
Lattice="5.341 0.000 0.000 0.000 5.341 0.000 0.000 0.000 5.161" Properties=species:S:1:pos:R:3 pbc="T T T"
Te 2.671 0.000 0.000
Te 0.000 2.671 0.000
As 0.000 0.000 0.000
Hf 2.671 2.671 2.580
Sb 0.000 0.000 2.580
```

Space group: P4/mmm, No. 123
Formation energy (no corrections) (eV per atom): 0.68
Energy above the most stable polymorph in this dataset (eV per atom): 0.284
Fermi-level density of states (states/eV/f.u.): 3.4

---

VASP calculation (PBE) on a relaxed HfSb2TeAs crystal.

extended XYZ file:
```
5
Lattice="5.205 0.000 0.000 0.000 5.205 0.000 0.000 0.000 5.352" Properties=species:S:1:pos:R:3 pbc="T T T"
Sb 2.602 0.000 0.000
Sb 0.000 2.602 0.000
Hf 2.602 2.602 2.676
Te 0.000 0.000 2.676
As 0.000 0.000 0.000
```

Space group: P4/mmm, No. 123
Formation energy (no corrections) (eV per atom): 0.74
Energy above the most stable polymorph in this dataset (eV per atom): 0.229
Fermi-level density of states (states/eV/f.u.): 4.0

---

> Number 2 is which compound?

HfSb2TeAs